[1]
Compound: NdHoAl2Si
Source: Alexandria via LeMat-Bulk
Functional: PBE-GGA
Structure: relaxed

## Properties
The value obtained for the mass density is 5620 kg/m³. The energy comes out at -4.90 eV per atom. As for the uncorrected formation energy: -0.4476 eV per atom. As for the space group: Imm2 (44). Its crystal system is orthorhombic.

a b c (Å): 4.336 4.391 6.811
angles (deg): 108.80 108.56 90.00
Sites, in units of the cell vectors:
Ho 0.197 0.697 0.394
Nd 0.439 0.439 0.879
Si 0.842 0.842 0.684
Al 0.689 0.189 0.379
Al 0.044 0.044 0.088

***

[2]
Compound: NdSmHoAl
Source: Alexandria via LeMat-Bulk
Functional: PBE-GGA
Structure: relaxed

## Properties
The energy of formation from the pure elements is -0.1804 eV per atom. The value obtained for the mass density is 6958 kg/m³. The energy comes out at -4.63 eV per atom. The offset from the most stable computed form comes out at 0 meV per atom. As for the space group: P4mm (99). Its crystal system is tetragonal.

a b c (Å): 3.549 3.549 9.217
angles (deg): 90.00 90.00 90.00
Sites, in units of the cell vectors:
Al 0.000 0.000 0.565
Nd 0.000 0.000 0.078
Ho 0.500 0.500 0.361
Sm 0.500 0.500 0.781

***

[3]
Compound: NdSmHoAl
Source: Alexandria via LeMat-Bulk
Functional: PBE-GGA
Structure: relaxed

## Properties
The energy of formation from the pure elements is -0.0596 eV per atom. The value obtained for the mass density is 7135 kg/m³. The energy comes out at -4.51 eV per atom. The offset from the most stable computed form comes out at 121 meV per atom. As for the space group: F-43m (216). Its crystal system is cubic.

a b c (Å): 5.430 5.430 5.430
angles (deg): 60.00 60.00 60.00
Sites, in units of the cell vectors:
Ho 0.500 0.500 0.500
Al 0.000 0.000 0.000
Sm 0.250 0.250 0.250
Nd 0.750 0.750 0.750

***

[4]
Compound: NdHo2Al2Zn2
Source: Alexandria via LeMat-Bulk
Functional: PBE-GGA
Structure: relaxed

## Properties
The energy of formation from the pure elements is -0.3088 eV per atom. The value obtained for the mass density is 6690 kg/m³. The energy comes out at -3.73 eV per atom. As for the space group: R-3m (166). Its crystal system is trigonal.

a b c (Å): 4.533 4.533 9.555
angles (deg): 76.28 76.28 60.00
Sites, in units of the cell vectors:
Ho 0.129 0.129 0.613
Ho 0.871 0.871 0.387
Al 0.259 0.259 0.222
Al 0.741 0.741 0.778
Nd 0.000 0.000 0.000
Zn 0.405 0.405 0.785
Zn 0.595 0.595 0.215

***

[5]
Compound: NdHoAl2Zn2
Source: Alexandria via LeMat-Bulk
Functional: PBE-GGA
Structure: relaxed

## Properties
The energy of formation from the pure elements is -0.4491 eV per atom. The value obtained for the mass density is 6326 kg/m³. The energy comes out at -3.68 eV per atom. As for the space group: P-3m1 (164). Its crystal system is trigonal.

a b c (Å): 4.510 4.510 7.361
angles (deg): 90.00 90.00 120.00
Sites, in units of the cell vectors:
Al 0.667 0.333 0.270
Al 0.333 0.667 0.730
Ho 0.000 0.000 0.500
Zn 0.333 0.667 0.277
Zn 0.667 0.333 0.723
Nd 0.000 0.000 0.000

***

[6]
Compound: Ho3AlNi3
Source: Alexandria via LeMat-Bulk
Functional: PBE-GGA
Structure: relaxed

## Properties
The energy of formation from the pure elements is -0.5286 eV per atom. The value obtained for the mass density is 8722 kg/m³. The energy comes out at -5.50 eV per atom. The offset from the most stable computed form comes out at 0 meV per atom. As for the space group: Cmcm (63). Its crystal system is orthorhombic.

a b c (Å): 4.080 5.367 13.121
angles (deg): 90.00 90.00 112.34
Sites, in units of the cell vectors:
Al 0.500 0.000 0.000
Al 0.500 0.000 0.500
Ho 0.494 0.988 0.750
Ho 0.789 0.577 0.105
Ho 0.506 0.012 0.250
Ho 0.211 0.423 0.895
Ho 0.789 0.577 0.395
Ho 0.211 0.423 0.605
Ni 0.923 0.845 0.911
Ni 0.210 0.421 0.250
Ni 0.077 0.155 0.411
Ni 0.923 0.845 0.589
Ni 0.077 0.155 0.089
Ni 0.790 0.579 0.750

***

[7]
Compound: HoAlNi2
Source: Alexandria via LeMat-Bulk
Functional: PBE-GGA
Structure: relaxed

## Properties
The energy of formation from the pure elements is -0.3816 eV per atom. The value obtained for the mass density is 8233 kg/m³. The energy comes out at -5.35 eV per atom. As for the space group: P4/mmm (123). Its crystal system is tetragonal.

a b c (Å): 3.211 4.408 4.408
angles (deg): 90.00 90.00 90.00
Sites, in units of the cell vectors:
Al 0.500 0.000 0.000
Ni 0.000 0.500 0.000
Ni 0.000 0.000 0.500
Ho 0.500 0.500 0.500

***

[8]
Compound: Ho2Al5Ni3
Source: Alexandria via LeMat-Bulk
Functional: PBE-GGA
Structure: relaxed

## Properties
The energy of formation from the pure elements is -0.5857 eV per atom. The value obtained for the mass density is 6428 kg/m³. The energy comes out at -5.11 eV per atom. As for the space group: Cmc2_1 (36). Its crystal system is orthorhombic.

a b c (Å): 4.132 6.532 12.442
angles (deg): 90.00 99.56 90.00
Sites, in units of the cell vectors:
Al 0.708 0.409 0.416
Al 0.056 0.598 0.112
Al 0.292 0.909 0.584
Al 0.288 0.510 0.575
Al 0.129 0.242 0.257
Al 0.871 0.742 0.743
Al 0.599 0.905 0.197
Al 0.401 0.405 0.803
Al 0.944 0.098 0.888
Al 0.712 0.010 0.425
Ho 0.521 0.270 0.043
Ho 0.825 0.218 0.651
Ho 0.175 0.718 0.349
Ho 0.479 0.770 0.957
Ni 0.228 0.207 0.456
Ni 0.772 0.707 0.544
Ni 0.610 0.520 0.219
Ni 0.048 0.985 0.097
Ni 0.390 0.020 0.781
Ni 0.952 0.485 0.903

***

[9]
Compound: Ho2AlNi
Source: Alexandria via LeMat-Bulk
Functional: PBE-GGA
Structure: relaxed

## Properties
The energy of formation from the pure elements is -0.3299 eV per atom. The value obtained for the mass density is 8066 kg/m³. The energy comes out at -5.00 eV per atom. The offset from the most stable computed form comes out at 74 meV per atom. As for the space group: Fm-3m (225). Its crystal system is cubic.

a b c (Å): 4.946 4.946 4.946
angles (deg): 60.00 60.00 60.00
Sites, in units of the cell vectors:
Al 0.000 0.000 0.000
Ho 0.750 0.750 0.750
Ho 0.250 0.250 0.250
Ni 0.500 0.500 0.500

***

[10]
Compound: Ho2Al3Ni
Source: Alexandria via LeMat-Bulk
Functional: PBE-GGA
Structure: relaxed

## Properties
The energy of formation from the pure elements is -0.5303 eV per atom. The value obtained for the mass density is 6938 kg/m³. The energy comes out at -4.89 eV per atom. As for the space group: R-3m (166). Its crystal system is trigonal.

a b c (Å): 5.493 5.493 5.344
angles (deg): 89.96 120.91 120.06
Sites, in units of the cell vectors:
Ni 0.000 0.000 0.000
Al 0.500 0.000 0.500
Al 0.000 0.000 0.500
Al 0.500 0.500 0.500
Ho 0.249 0.625 0.874
Ho 0.751 0.375 0.126

***

[11]
Compound: Ho2Al3Ni4
Source: Alexandria via LeMat-Bulk
Functional: PBE-GGA
Structure: relaxed

## Properties
The energy of formation from the pure elements is -0.5819 eV per atom. The value obtained for the mass density is 7530 kg/m³. The energy comes out at -5.42 eV per atom. As for the space group: Cmce (64). Its crystal system is orthorhombic.

a b c (Å): 5.439 6.889 8.071
angles (deg): 90.00 109.69 90.00
Sites, in units of the cell vectors:
Ho 0.104 0.586 0.209
Ho 0.896 0.414 0.791
Ho 0.604 0.914 0.209
Ho 0.396 0.086 0.791
Al 0.500 0.500 0.000
Al 0.984 0.250 0.468
Al 0.484 0.250 0.468
Al 0.000 0.000 0.000
Al 0.516 0.750 0.532
Al 0.016 0.750 0.532
Ni 0.170 0.987 0.341
Ni 0.179 0.750 0.858
Ni 0.679 0.750 0.858
Ni 0.821 0.250 0.142
Ni 0.830 0.013 0.659
Ni 0.330 0.487 0.659
Ni 0.321 0.250 0.142
Ni 0.670 0.513 0.341

***

[12]
Compound: Ho3Al2Ni6
Source: Alexandria via LeMat-Bulk
Functional: PBE-GGA
Structure: relaxed

## Properties
The energy of formation from the pure elements is -0.5767 eV per atom. The value obtained for the mass density is 8494 kg/m³. The energy comes out at -5.66 eV per atom. As for the space group: Im-3m (229). Its crystal system is cubic.

a b c (Å): 7.706 7.706 7.706
angles (deg): 109.47 109.47 109.47
Sites, in units of the cell vectors:
Ni 0.666 0.331 0.666
Ni 0.334 0.666 0.000
Ni 0.000 0.666 0.334
Ni 0.666 0.334 0.000
Ni 0.334 0.000 0.666
Ni 0.666 0.000 0.334
Ni 0.666 0.666 0.331
Ni 0.669 0.334 0.334
Ni 0.334 0.669 0.334
Ni 0.334 0.334 0.669
Ni 0.000 0.334 0.666
Ni 0.331 0.666 0.666
Ho 0.707 0.707 0.000
Ho 0.293 0.293 0.000
Ho 0.000 0.707 0.707
Ho 0.293 0.000 0.293
Ho 0.707 0.000 0.707
Ho 0.000 0.293 0.293
Al 0.000 0.500 0.000
Al 0.000 0.000 0.500
Al 0.500 0.500 0.500
Al 0.500 0.000 0.000

***

Question: energy of number 1 (NdHoAl2Si)?
Answer: -4.90 eV per atom

***

Question: Which of these has the highest energy?
Answer: NdHoAl2Zn2

***

Question: The highest energy belongs to which entry?
Answer: NdHoAl2Zn2